[1]
An optimized crystal structure of Mg2Zn5Rh2, computed with PBE.

## Properties
* crystal system: triclinic
* magnetic moment: 0.0000 μB/atom

Cell and atoms, written as CIF:
```
data_Mg2Zn5Rh2
_chemical_formula_sum 'Mg2 Zn5 Rh2'
_symmetry_space_group_name_H-M 'P -1'
_symmetry_Int_Tables_number 2
_cell_length_a 2.925
_cell_length_b 6.235
_cell_length_c 8.646
_cell_angle_alpha 86.81
_cell_angle_beta 80.92
_cell_angle_gamma 89.90
loop_
_symmetry_equiv_pos_as_xyz
'x,y,z'
'-x,-y,-z'
loop_
_atom_site_label
_atom_site_type_symbol
_atom_site_fract_x
_atom_site_fract_y
_atom_site_fract_z
Mg1 Mg 0.165 0.104 0.154
Zn1 Zn 0.000 0.000 0.500
Zn2 Zn 0.060 0.642 0.370
Zn3 Zn 0.313 0.444 0.880
Rh1 Rh 0.441 0.700 0.626
```

[2]
An optimized crystal structure of Mg2Zn4Rh, computed with PBE.

## Properties
* polymorph energy (0 for the lowest one): 2.22 eV/f.u.
* crystal system: orthorhombic
* magnetic moment: 0.0000 μB/atom

Cell and atoms, written as CIF:
```
data_Mg2Zn4Rh
_chemical_formula_sum 'Mg4 Zn8 Rh2'
_symmetry_space_group_name_H-M 'C m m m'
_symmetry_Int_Tables_number 65
_symmetry_space_group_name_Hall '-C 2 2'
_cell_length_a 5.285
_cell_length_b 12.310
_cell_length_c 4.224
_cell_angle_alpha 90.00
_cell_angle_beta 90.00
_cell_angle_gamma 90.00
loop_
_atom_site_label
_atom_site_type_symbol
_atom_site_fract_x
_atom_site_fract_y
_atom_site_fract_z
Mg1 Mg 0.000 0.131 0.000
Zn1 Zn 0.000 0.286 0.500
Zn2 Zn 0.000 0.391 0.000
Rh1 Rh 0.000 0.500 0.500
```

[3]
An optimized crystal structure of Mg2Zn2Rh, computed with PBE.

## Properties
* polymorph energy (0 for the lowest one): 0.17 eV/f.u.
* crystal system: monoclinic
* magnetic moment: 0.0000 μB/atom

Cell and atoms, written as CIF:
```
data_Mg2Zn2Rh
_chemical_formula_sum 'Mg4 Zn4 Rh2'
_symmetry_space_group_name_H-M 'C 1 2/m 1'
_symmetry_Int_Tables_number 12
_cell_length_a 7.755
_cell_length_b 4.419
_cell_length_c 5.313
_cell_angle_alpha 90.00
_cell_angle_beta 119.99
_cell_angle_gamma 90.00
loop_
_symmetry_equiv_pos_as_xyz
'x,y,z'
'-x,-y,-z'
'-x,y,-z'
'x,-y,z'
'x+1/2,y+1/2,z'
'-x+1/2,-y+1/2,-z'
'-x+1/2,y+1/2,-z'
'x+1/2,-y+1/2,z'
loop_
_atom_site_label
_atom_site_type_symbol
_atom_site_fract_x
_atom_site_fract_y
_atom_site_fract_z
Mg1 Mg 0.208 0.000 0.124
Zn1 Zn 0.101 0.500 0.304
Rh1 Rh 0.000 0.000 0.500
```

[4]
An optimized crystal structure of MgZnRh, computed with PBE.

## Properties
* crystal system: trigonal
* magnetic moment: 0.0000 μB/atom

Cell and atoms, written as CIF:
```
data_MgZnRh
_chemical_formula_sum 'Mg1 Zn1 Rh1'
_symmetry_space_group_name_H-M 'P 3 m 1'
_symmetry_Int_Tables_number 156
_cell_length_a 2.9269
_cell_length_b 2.9269
_cell_length_c 6.4682
_cell_angle_alpha 90.00
_cell_angle_beta 90.00
_cell_angle_gamma 120.00
loop_
_symmetry_equiv_pos_as_xyz
'x,y,z'
'-y,x-y,z'
'-x+y,-x,z'
'-y,-x,z'
'-x+y,y,z'
'x,x-y,z'
loop_
_atom_site_label
_atom_site_type_symbol
_atom_site_fract_x
_atom_site_fract_y
_atom_site_fract_z
Mg1 Mg 0.0000 0.0000 0.0000
Zn1 Zn 0.3333 0.6667 0.6286
Rh1 Rh 0.6667 0.3333 0.3203
```

no.,energy relative to the elements (meV/atom)
1,-182
2,154
3,-282
4,-189